HfAlO2F: optimized geometry, PBE-GGA.

The magnetization is 0.00 μB per formula unit. The value obtained for the total energy is -7.060 eV/atom. As for the uncorrected formation energy: -1.964 eV/atom.

It has space group P4/mmm (No. 123), with a = 3.788 Å, b = 3.788 Å, c = 3.694 Å, α = 90.00°, β = 90.00° and γ = 90.00°. The asymmetric unit holds Hf at (0.000, 0.000, 0.000), Al at (0.500, 0.500, 0.500), O at (0.000, 0.500, 0.500) and F at (0.500, 0.500, 0.000).

---

MnCrAg2: optimized geometry, PBE-GGA.

The value obtained for the calculated formation energy is 181 kJ/mol of formula units. The magnetization is 8.19 μB per formula unit. The value obtained for the total energy is -5.654 eV/atom.

It has space group C2/m (No. 12), with a = 5.948 Å, b = 7.572 Å, c = 2.990 Å, α = 90.00°, β = 92.65° and γ = 90.00°. The asymmetric unit holds Mn at (0.000, 0.000, 0.000), Cr at (0.000, 0.500, 0.000) and Ag at (0.250, 0.250, 0.500).

---

Q: What is the magnetization in the first record?
A: 0.00 μB per formula unit

---

Q: Look up the magnetization of the second one.
A: 8.19 μB per formula unit

---

Q: magnetization of number 1 (HfAlO2F)?
A: 0.00 μB per formula unit